## i
Computed, not measured: an optimized crystal structure of LiMgCu at the PBE-GGA level of DFT.

Summary:
**Density of states at the Fermi level**: 0.50 states/eV/cell
**Volume**: 15.86 Å³/atom
**Symmetry**: I4mm (107)

POSCAR file:
```
LiMgCu
1.0
5.151 -0.034 0.038
4.172 3.020 0.037
0.978 0.314 3.038
Mg Cu Li
1 1 1
direct
0.657 0.657 0.343 Mg
0.992 0.992 0.008 Cu
0.352 0.352 0.648 Li
```

---

## ii
Computed, not measured: an optimized crystal structure of LiMgCu at the PBE-GGA level of DFT.

Summary:
**Density of states at the Fermi level**: 0.94 states/eV/cell
**Volume**: 16.95 Å³/atom
**Symmetry**: R3m (160)

POSCAR file:
```
LiMgCu
1.0
-2.814 -2.523 -0.231
-0.397 -0.460 -3.738
1.845 -3.245 -0.637
Li Mg Cu
1 1 1
direct
0.685 0.685 0.685 Li
0.050 0.050 0.050 Mg
0.378 0.378 0.378 Cu
```

---

Energies relative to the minimum, meV/atom: i 0; ii 156

---

## i
Computed, not measured: an optimized crystal structure of LiMg4Cu at the PBE-GGA level of DFT.

Summary:
**Density of states at the Fermi level**: 3.48 states/eV/cell
**Volume**: 21.58 Å³/atom
**Symmetry**: F-43m (216)

POSCAR file:
```
LiMg4Cu
1.0
-4.393 2.562 2.528
-3.010 3.908 -2.813
-5.305 -1.158 -1.665
Li Mg Cu
1 4 1
direct
0.000 0.000 0.000 Li
0.874 0.376 0.376 Mg
0.376 0.376 0.874 Mg
0.376 0.874 0.376 Mg
0.376 0.376 0.376 Mg
0.750 0.750 0.750 Cu
```

---

## ii
Computed, not measured: an optimized crystal structure of LiMg4Cu at the PBE-GGA level of DFT.

Summary:
**Density of states at the Fermi level**: 1.96 states/eV/cell
**Volume**: 22.83 Å³/atom
**Symmetry**: P4mm (99)

POSCAR file:
```
LiMg4Cu
1.0
4.479 0.000 -0.001
0.000 4.481 -0.003
0.003 0.003 6.825
Li Mg Cu
1 4 1
direct
0.501 0.497 0.998 Li
0.501 0.997 0.273 Mg
0.501 0.997 0.723 Mg
0.001 0.497 0.723 Mg
0.001 0.497 0.274 Mg
0.001 0.997 0.499 Cu
```

---

Energies relative to the minimum, meV/atom: i 100; ii 0

---

## i
Computed, not measured: an optimized crystal structure of LiMg3Cu at the PBE-GGA level of DFT.

Summary:
**Density of states at the Fermi level**: 1.81 states/eV/cell
**Volume**: 18.46 Å³/atom
**Symmetry**: P-1 (2)

POSCAR file:
```
LiMg3Cu
1.0
-3.001 -1.048 -0.834
0.433 -4.888 4.548
-2.010 6.817 5.046
Li Mg Cu
2 6 2
direct
0.821 0.067 0.900 Li
0.010 0.158 0.275 Li
0.606 0.943 0.470 Mg
0.225 0.281 0.706 Mg
0.415 0.387 0.086 Mg
0.229 0.754 0.716 Mg
0.416 0.838 0.089 Mg
0.601 0.470 0.460 Mg
0.011 0.663 0.281 Cu
0.820 0.561 0.895 Cu
```

---

## ii
Computed, not measured: an optimized crystal structure of LiMg3Cu at the PBE-GGA level of DFT.

Summary:
**Density of states at the Fermi level**: 2.03 states/eV/cell
**Volume**: 23.96 Å³/atom
**Symmetry**: Pm-3m (221)

POSCAR file:
```
LiMg3Cu
1.0
4.930 0.000 0.000
0.000 4.930 0.000
0.000 0.000 4.930
Mg Cu Li
3 1 1
direct
0.000 0.500 0.000 Mg
0.000 0.000 0.500 Mg
0.500 0.000 0.000 Mg
0.000 0.000 0.000 Cu
0.500 0.500 0.500 Li
```

---

Energies relative to the minimum, meV/atom: i 0; ii 189

---

## i
Computed, not measured: an optimized crystal structure of LiMg2Cu2 at the PBE-GGA level of DFT.

Summary:
**Density of states at the Fermi level**: 4.13 states/eV/cell
**Volume**: 16.94 Å³/atom
**Symmetry**: P4/mbm (127)

POSCAR file:
```
LiMg2Cu2
1.0
7.138 0.000 0.000
0.000 7.138 0.000
0.000 0.000 3.324
Mg Cu Li
4 4 2
direct
0.169 0.669 0.500 Mg
0.669 0.831 0.500 Mg
0.831 0.331 0.500 Mg
0.331 0.169 0.500 Mg
0.375 0.875 0.000 Cu
0.875 0.625 0.000 Cu
0.625 0.125 0.000 Cu
0.125 0.375 0.000 Cu
0.000 0.000 0.000 Li
0.500 0.500 0.000 Li
```

---

## ii
Computed, not measured: an optimized crystal structure of LiMg2Cu2 at the PBE-GGA level of DFT.

Summary:
**Density of states at the Fermi level**: 1.93 states/eV/cell
**Volume**: 19.32 Å³/atom
**Symmetry**: I4/mmm (139)

POSCAR file:
```
LiMg2Cu2
1.0
4.157 0.000 0.000
0.000 4.157 0.000
2.079 2.079 5.589
Mg Cu Li
2 2 1
direct
0.750 0.250 0.500 Mg
0.250 0.750 0.500 Mg
0.396 0.396 0.207 Cu
0.604 0.604 0.793 Cu
0.000 0.000 0.000 Li
```

---

Energies relative to the minimum, meV/atom: i 0; ii 186

---

## i
Computed, not measured: an optimized crystal structure of Li6Mg2Cu at the PBE-GGA level of DFT.

Summary:
**Density of states at the Fermi level**: 3.59 states/eV/cell
**Volume**: 18.93 Å³/atom
**Symmetry**: Amm2 (38)

POSCAR file:
```
Li6Mg2Cu
1.0
3.056 0.000 0.000
0.000 8.019 0.000
0.000 -4.009 6.953
Li Mg Cu
6 2 1
direct
0.500 0.640 0.000 Li
0.500 0.358 0.357 Li
0.500 0.001 0.643 Li
0.000 0.266 0.000 Li
0.000 0.735 0.736 Li
0.000 0.999 0.264 Li
0.000 0.333 0.665 Mg
0.000 0.668 0.335 Mg
0.500 0.000 0.000 Cu
```

---

## ii
Computed, not measured: an optimized crystal structure of Li6Mg2Cu at the PBE-GGA level of DFT.

Summary:
**Density of states at the Fermi level**: 2.85 states/eV/cell
**Volume**: 18.83 Å³/atom
**Symmetry**: Cmmm (65)

POSCAR file:
```
Li6Mg2Cu
1.0
-0.690 3.746 2.101
5.431 -1.368 4.222
6.719 1.773 -0.955
Li Mg Cu
6 2 1
direct
0.000 0.575 0.144 Li
0.000 0.856 0.425 Li
0.000 0.425 0.856 Li
0.500 0.742 0.258 Li
0.000 0.144 0.575 Li
0.500 0.258 0.742 Li
0.500 0.219 0.219 Mg
0.500 0.781 0.781 Mg
0.000 0.000 0.000 Cu
```

---

Energies relative to the minimum, meV/atom: i 0; ii 12

---

## i
Computed, not measured: an optimized crystal structure of Li4MgCu at the PBE-GGA level of DFT.

Summary:
**Density of states at the Fermi level**: 5.04 states/eV/cell
**Volume**: 18.02 Å³/atom
**Symmetry**: P2_1/m (11)

POSCAR file:
```
Li4MgCu
1.0
-2.247 -4.407 1.168
2.404 0.929 -7.803
5.150 -2.277 1.316
Li Mg Cu
8 2 2
direct
0.613 0.461 0.750 Li
0.387 0.539 0.250 Li
0.302 0.083 0.750 Li
0.698 0.917 0.250 Li
0.073 0.758 0.013 Li
0.927 0.242 0.513 Li
0.073 0.758 0.487 Li
0.927 0.242 0.987 Li
0.643 0.859 0.750 Mg
0.357 0.141 0.250 Mg
0.170 0.538 0.750 Cu
0.830 0.462 0.250 Cu
```

---

## ii
Computed, not measured: an optimized crystal structure of Li4MgCu at the PBE-GGA level of DFT.

Summary:
**Density of states at the Fermi level**: 2.72 states/eV/cell
**Volume**: 17.68 Å³/atom
**Symmetry**: P4/mmm (123)

POSCAR file:
```
Li4MgCu
1.0
2.119 -2.118 0.000
2.119 2.118 0.000
0.000 0.000 11.820
Li Mg Cu
4 1 1
direct
0.500 0.500 0.870 Li
0.500 0.500 0.130 Li
0.000 0.000 0.312 Li
0.000 0.000 0.688 Li
0.500 0.500 0.500 Mg
0.000 0.000 0.000 Cu
```

---

Energies relative to the minimum, meV/atom: i 25; ii 0